The following is a DFT calculation (PBE) of InAsSBr2 after structural relaxation.

Computed properties:
spin magnetization	1.86	μB per cell
V	31.9	Å³/atom
crystal system	tetragonal
electronic total energy	-12.22	eV for the cell shown
N(E_F)	2.4	states/eV/cell

a = 5.2897 Å, b = 5.2897 Å, c = 5.7007 Å
α = 90.00°, β = 90.00°, γ = 90.00°
With the nearest neighbours (Å) after each atom.
Fractional coordinates of all 5 atoms:
As1 0.0000 0.0000 0.5000  2 In 2.85
Br1 0.0000 0.5000 0.0000  2 In 2.64
Br2 0.5000 0.0000 0.0000  2 In 2.64
In1 0.0000 0.0000 0.0000  4 Br 2.64, 2 As 2.85
S1 0.5000 0.5000 0.5000  4 As 3.74, 8 Br 3.89